(1)
A plane-wave DFT calculation with PBE was carried out for Hf2HgRu after structural relaxation.

It has space group I-42d (No. 122), with a = 7.577 Å, b = 7.577 Å, c = 5.770 Å, α = 90.00°, β = 90.00° and γ = 90.00°. The asymmetric unit holds Hf at (0.207, 0.750, 0.125), Hg at (0.000, 0.000, 0.500) and Ru at (0.000, 0.000, 0.000).

The total energy comes out at -7.266 eV/atom. Its volume is 20.7 Å³/atom. As for the density of states at the Fermi level: 0.333 states/eV/atom. Its magnetic moment is 0.00 μB per cell.

***

(2)
A plane-wave DFT calculation with PBE was carried out for HfSiHgRu2 after structural relaxation.

It has space group P4/mmm (No. 123), with a = 4.733 Å, b = 4.733 Å, c = 5.374 Å, α = 90.00°, β = 90.00° and γ = 90.00°. The asymmetric unit holds Hf at (0.000, 0.000, 0.000), Si at (0.500, 0.500, 0.500), Hg at (0.000, 0.000, 0.500) and Ru at (0.000, 0.500, 0.000).

Its volume is 24.1 Å³/atom. As for the density of states at the Fermi level: 0.955 states/eV/atom. As for the formation energy without anion corrections: 7.58 eV/f.u. Its magnetic moment is 0.00 μB per cell.

***

(3)
A plane-wave DFT calculation with PBE was carried out for HfHg2TeRu after structural relaxation.

It has space group P4/mmm (No. 123), with a = 5.229 Å, b = 5.229 Å, c = 4.872 Å, α = 90.00°, β = 90.00° and γ = 90.00°. The asymmetric unit holds Hf at (0.000, 0.000, 0.000), Hg at (0.000, 0.500, 0.500), Te at (0.500, 0.500, 0.000) and Ru at (0.000, 0.000, 0.500).

Its volume is 26.6 Å³/atom. As for the density of states at the Fermi level: 0.702 states/eV/atom. As for the formation energy without anion corrections: 2.05 eV/f.u. Its magnetic moment is 0.00 μB per cell.

***

(4)
A plane-wave DFT calculation with PBE was carried out for HfVHg2Ru after structural relaxation.

It has space group P4/mmm (No. 123), with a = 5.140 Å, b = 5.140 Å, c = 4.346 Å, α = 90.00°, β = 90.00° and γ = 90.00°. The asymmetric unit holds Hf at (0.000, 0.000, 0.000), V at (0.500, 0.500, 0.000), Hg at (0.000, 0.500, 0.500) and Ru at (0.500, 0.500, 0.500).

The total energy comes out at -4.852 eV/atom. Its volume is 23.0 Å³/atom. As for the density of states at the Fermi level: 0.972 states/eV/atom. Its magnetic moment is 1.32 μB per cell.

***

(5)
A plane-wave DFT calculation with PBE was carried out for Hf2HgRuW after structural relaxation.

It has space group P4/mmm (No. 123), with a = 5.056 Å, b = 5.056 Å, c = 4.770 Å, α = 90.00°, β = 90.00° and γ = 90.00°. The asymmetric unit holds Hf at (0.000, 0.500, 0.000), Hg at (0.000, 0.000, 0.000), Ru at (0.000, 0.000, 0.500) and W at (0.500, 0.500, 0.500).

The total energy comes out at -6.421 eV/atom. Its volume is 24.4 Å³/atom. As for the density of states at the Fermi level: 1.424 states/eV/atom. Its magnetic moment is 0.00 μB per cell.

***

(6)
A plane-wave DFT calculation with PBE was carried out for YHfHg2Ru after structural relaxation.

It has space group P4/mmm (No. 123), with a = 5.418 Å, b = 5.418 Å, c = 4.723 Å, α = 90.00°, β = 90.00° and γ = 90.00°. The asymmetric unit holds Y at (0.000, 0.000, 0.000), Hf at (0.500, 0.500, 0.500), Hg at (0.000, 0.500, 0.000) and Ru at (0.000, 0.000, 0.500).

The total energy comes out at -4.020 eV/atom. Its volume is 27.7 Å³/atom. As for the density of states at the Fermi level: 0.984 states/eV/atom. Its magnetic moment is 0.00 μB per cell.

***

(7)
A plane-wave DFT calculation with PBE was carried out for Hf6Hg2S after structural relaxation.

It has space group P2_1/c (No. 14), with a = 5.920 Å, b = 6.710 Å, c = 11.223 Å, α = 90.00°, β = 120.57° and γ = 90.00°. The asymmetric unit holds Hf at (0.118, 0.221, 0.470), Hf at (0.302, 0.660, 0.468), Hf at (0.364, 0.013, 0.242), Hg at (0.140, 0.100, 0.738) and S at (0.500, 0.000, 0.500).

Its volume is 21.3 Å³/atom. As for the density of states at the Fermi level: 0.920 states/eV/atom. As for the formation energy without anion corrections: -2.50 eV/f.u. Its magnetic moment is 0.00 μB per cell.

***

(8)
A plane-wave DFT calculation with PBE was carried out for Hf2HgS after structural relaxation.

It has space group R-3m (No. 166, hexagonal axes), with a = 3.4847 Å, b = 3.4847 Å, c = 26.1623 Å, α = 90.00°, β = 90.00° and γ = 120.00°. The asymmetric unit holds Hf at (0.0000, 0.0000, 0.1115), Hg at (0.0000, 0.0000, 0.0000) and S at (0.0000, 0.0000, 0.5000).

Its volume is 22.9 Å³/atom. As for the density of states at the Fermi level: 0.350 states/eV/atom. As for the formation energy without anion corrections: -1.34 eV/f.u. Its magnetic moment is 0.00 μB per cell.

***

(9)
A plane-wave DFT calculation with PBE was carried out for Hf3HgS after structural relaxation.

It has space group Pm-3m (No. 221), with a = 4.752 Å, b = 4.752 Å, c = 4.752 Å, α = 90.00°, β = 90.00° and γ = 90.00°. The asymmetric unit holds Hf at (0.000, 0.000, 0.500), Hg at (0.500, 0.500, 0.500) and S at (0.000, 0.000, 0.000).

Its volume is 21.5 Å³/atom. As for the density of states at the Fermi level: 0.702 states/eV/atom. As for the formation energy without anion corrections: -1.37 eV/f.u. Its magnetic moment is 0.00 μB per cell.

***

(10)
A plane-wave DFT calculation with PBE was carried out for Hf2Hg2S after structural relaxation.

It has space group P4/mbm (No. 127), with a = 7.590 Å, b = 7.590 Å, c = 3.796 Å, α = 90.00°, β = 90.00° and γ = 90.00°. The asymmetric unit holds Hf at (0.168, 0.332, 0.000), Hg at (0.135, 0.635, 0.500) and S at (0.000, 0.000, 0.500).

Its volume is 21.9 Å³/atom. As for the density of states at the Fermi level: 0.295 states/eV/atom. As for the formation energy without anion corrections: 1.45 eV/f.u. Its magnetic moment is 0.00 μB per cell.

***

(11)
A plane-wave DFT calculation with PBE was carried out for Hf2Hg2S after structural relaxation.

It has space group P4/mbm (No. 127), with a = 6.672 Å, b = 6.672 Å, c = 4.836 Å, α = 90.00°, β = 90.00° and γ = 90.00°. The asymmetric unit holds Hf at (0.165, 0.335, 0.000), Hg at (0.156, 0.656, 0.500) and S at (0.000, 0.000, 0.000).

Its volume is 21.5 Å³/atom. As for the density of states at the Fermi level: 0.347 states/eV/atom. As for the formation energy without anion corrections: -2.65 eV/f.u. Its magnetic moment is 0.00 μB per cell.

***

(12)
A plane-wave DFT calculation with PBE was carried out for HfHg3S after structural relaxation.

It has space group Pm-3m (No. 221), with a = 5.543 Å, b = 5.543 Å, c = 5.543 Å, α = 90.00°, β = 90.00° and γ = 90.00°. The asymmetric unit holds Hf at (0.000, 0.000, 0.000), Hg at (0.000, 0.000, 0.500) and S at (0.500, 0.500, 0.500).

Its volume is 34.1 Å³/atom. As for the density of states at the Fermi level: 0.586 states/eV/atom. As for the formation energy without anion corrections: 4.01 eV/f.u. Its magnetic moment is 0.00 μB per cell.

***

(13)
A plane-wave DFT calculation with PBE was carried out for Hf2HgS after structural relaxation.

It has space group R3m (No. 160, hexagonal axes), with a = 3.5275 Å, b = 3.5275 Å, c = 22.2583 Å, α = 90.00°, β = 90.00° and γ = 120.00°. The asymmetric unit holds Hf at (0.0000, 0.0000, 0.0000), Hf at (0.0000, 0.0000, 0.2049), Hg at (0.0000, 0.0000, 0.4347) and S at (0.0000, 0.0000, 0.6026).

Its volume is 20.0 Å³/atom. As for the density of states at the Fermi level: 0.392 states/eV/atom. As for the formation energy without anion corrections: -2.68 eV/f.u. Its magnetic moment is 0.00 μB per cell.

***

(14)
A plane-wave DFT calculation with PBE was carried out for HfHg3S after structural relaxation.

It has space group Pm-3m (No. 221), with a = 5.076 Å, b = 5.076 Å, c = 5.076 Å, α = 90.00°, β = 90.00° and γ = 90.00°. The asymmetric unit holds Hf at (0.000, 0.000, 0.000), Hg at (0.000, 0.500, 0.500) and S at (0.500, 0.500, 0.500).

Its volume is 26.2 Å³/atom. As for the density of states at the Fermi level: 0.946 states/eV/atom. As for the formation energy without anion corrections: 4.48 eV/f.u. Its magnetic moment is 0.00 μB per cell.

***

(15)
A plane-wave DFT calculation with PBE was carried out for Hf2Hg2S after structural relaxation.

It has space group I4/mmm (No. 139), with a = 3.973 Å, b = 3.973 Å, c = 15.073 Å, α = 90.00°, β = 90.00° and γ = 90.00°. The asymmetric unit holds Hf at (0.000, 0.500, 0.250), Hg at (0.000, 0.000, 0.095) and S at (0.000, 0.000, 0.500).

Its volume is 23.8 Å³/atom. As for the density of states at the Fermi level: 0.900 states/eV/atom. As for the formation energy without anion corrections: 2.40 eV/f.u. Its magnetic moment is 0.00 μB per cell.

***

(16)
A plane-wave DFT calculation with PBE was carried out for Hf6HgS12 after structural relaxation.

It has space group R-3m (No. 166, hexagonal axes), with a = 12.2886 Å, b = 12.2886 Å, c = 9.3092 Å, α = 90.00°, β = 90.00° and γ = 120.00°. The asymmetric unit holds Hf at (0.0715, 0.5357, 0.2828), Hg at (0.0000, 0.0000, 0.0000), S at (0.0000, 0.3740, 0.5000) and S at (0.0905, 0.1810, 0.3556).

Its volume is 21.4 Å³/atom. As for the formation energy without anion corrections: -22.79 eV/f.u. Its magnetic moment is 0.00 μB per cell.

***

(17)
A plane-wave DFT calculation with PBE was carried out for Hf2HgS after structural relaxation.

It has space group Fm-3m (No. 225), with a = 6.751 Å, b = 6.751 Å, c = 6.751 Å, α = 90.00°, β = 90.00° and γ = 90.00°. The asymmetric unit holds Hf at (0.250, 0.250, 0.250), Hg at (0.000, 0.000, 0.000) and S at (0.000, 0.000, 0.500).

Its volume is 19.2 Å³/atom. As for the density of states at the Fermi level: 0.577 states/eV/atom. As for the formation energy without anion corrections: -0.97 eV/f.u. Its magnetic moment is 0.00 μB per cell.

***

(18)
A plane-wave DFT calculation with PBE was carried out for Hf8HgS2 after structural relaxation.

It has space group C2/m (No. 12), with a = 13.236 Å, b = 7.401 Å, c = 5.144 Å, α = 90.00°, β = 97.07° and γ = 90.00°. The asymmetric unit holds Hf at (0.086, 0.200, 0.215), Hf at (0.129, 0.000, 0.727), Hf at (0.215, 0.500, 0.720), Hg at (0.000, 0.500, 0.500) and S at (0.179, 0.500, 0.202).

Its volume is 22.7 Å³/atom. As for the density of states at the Fermi level: 0.901 states/eV/atom. As for the formation energy without anion corrections: -1.80 eV/f.u. Its magnetic moment is 0.00 μB per cell.

***

(19)
A plane-wave DFT calculation with PBE was carried out for Hf6HgS after structural relaxation.

It has space group R-3 (No. 148, hexagonal axes), with a = 8.6398 Å, b = 8.6398 Å, c = 7.8727 Å, α = 90.00°, β = 90.00° and γ = 120.00°. The asymmetric unit holds Hf at (0.0470, 0.2545, 0.1831), Hg at (0.0000, 0.0000, 0.5000) and S at (0.0000, 0.0000, 0.0000).

Its volume is 21.2 Å³/atom. As for the density of states at the Fermi level: 0.979 states/eV/atom. As for the formation energy without anion corrections: -2.30 eV/f.u. Its magnetic moment is 0.00 μB per cell.

***

(20)
A plane-wave DFT calculation with PBE was carried out for Hf2HgS after structural relaxation.

It has space group I-42d (No. 122), with a = 5.399 Å, b = 5.399 Å, c = 14.219 Å, α = 90.00°, β = 90.00° and γ = 90.00°. The asymmetric unit holds Hf at (0.186, 0.250, 0.125), Hg at (0.000, 0.000, 0.500) and S at (0.000, 0.000, 0.000).

Its volume is 25.9 Å³/atom. As for the density of states at the Fermi level: 0.307 states/eV/atom. As for the formation energy without anion corrections: 0.02 eV/f.u. Its magnetic moment is 0.00 μB per cell.